Entry from Alexandria via LeMat-Bulk: a relaxed structure of Ti8FePb2 (PBE).

a = 4.758 Å, b = 5.369 Å, c = 7.981 Å
α = 95.09°, β = 107.34°, γ = 90.00°
Fractional coordinates of all 11 atoms:
Ti (0.420, 0.429, 0.839)
Ti (0.645, 0.113, 0.289)
Ti (0.765, 0.653, 0.529)
Ti (0.042, 0.270, 0.084)
Ti (0.235, 0.347, 0.471)
Ti (0.355, 0.887, 0.711)
Ti (0.580, 0.571, 0.161)
Ti (0.958, 0.730, 0.916)
Fe (0.500, 0.000, 0.000)
Pb (0.844, 0.190, 0.687)
Pb (0.156, 0.810, 0.313)

The formation energy comes out at -48.6 meV per atom. The calculation puts the total energy at -79.57 eV per cell. The density of states at the Fermi level comes out at 10.76 states/eV/cell.

***

Entry from Alexandria via LeMat-Bulk: a relaxed structure of Er2ScNi (PBE).

a = 3.403 Å, b = 3.403 Å, c = 8.037 Å
α = 90.00°, β = 90.00°, γ = 90.00°
Fractional coordinates of all 4 atoms:
Sc (0.500, 0.500, 0.500)
Ni (0.500, 0.500, 0.000)
Er (0.000, 0.000, 0.801)
Er (0.000, 0.000, 0.199)

The formation energy comes out at -172.5 meV per atom. The calculation puts the total energy at -21.93 eV per cell. The density of states at the Fermi level comes out at 5.59 states/eV/cell.

***

Entry from Alexandria via LeMat-Bulk: a relaxed structure of Y2Zn3Ru2 (PBE).

a = 4.307 Å, b = 5.583 Å, c = 6.462 Å
α = 109.62°, β = 90.00°, γ = 112.69°
Fractional coordinates of all 7 atoms:
Y (0.644, 0.287, 0.755)
Y (0.356, 0.713, 0.245)
Zn (0.348, 0.696, 0.745)
Zn (0.000, 0.000, 0.000)
Zn (0.652, 0.304, 0.255)
Ru (0.095, 0.191, 0.434)
Ru (0.905, 0.809, 0.566)

The formation energy comes out at -293.7 meV per atom. The calculation puts the total energy at -37.36 eV per cell. The density of states at the Fermi level comes out at 4.92 states/eV/cell.

***

- Number 2 is which compound?
  Er2ScNi